CuSe2IBr: relaxed, GGA-PBE.

Unit cell a=4.9959 b=4.9959 c=4.8276 alpha=90.00 beta=90.00 gamma=90.00
Last column: nearest neighbours and their distance in Å.
Element x y z (fractional)
Se 0.5000 0.0000 0.0000  2 Cu 2.50
Se 0.0000 0.5000 0.0000  2 Cu 2.50
Cu 0.0000 0.0000 0.0000  2 Br 2.41, 4 Se 2.50
Br 0.0000 0.0000 0.5000  2 Cu 2.41
I 0.5000 0.5000 0.5000  8 Se 3.47, 4 Br 3.53

Summary:
Its total DFT energy (no corrections) is -2.492 eV per atom. The value obtained for the density of states at the Fermi level is 4.5 states/eV per cell. The value obtained for the uncorrected formation energy is 176 kJ/mol of formula units. The energy above the most stable polymorph in this dataset comes out at 0 meV/atom.


K2LaRu: relaxed, GGA-PBE.

Unit cell a=4.3051 b=4.3051 c=13.7648 alpha=81.00 beta=81.00 gamma=90.00
Last column: nearest neighbours and their distance in Å.
Element x y z (fractional)
Ru 0.2500 0.7500 0.5000  4 La 3.04
La 0.7500 0.2500 0.5000  4 Ru 3.04
K 0.8750 0.8645 0.7500  4 K 2.98-3.11
K 0.1355 0.6250 0.2500  4 K 2.98-3.11
K 0.6145 0.1250 0.2500  4 K 2.98-3.11
K 0.3750 0.3855 0.7500  4 K 2.98-3.11
Ru 0.5000 0.5000 0.0000  4 La 3.04
La 0.0000 0.0000 0.0000  4 Ru 3.04

Summary:
Its total DFT energy (no corrections) is -3.364 eV per atom. The value obtained for the density of states at the Fermi level is 7.3 states/eV per cell. The value obtained for the formation enthalpy at 0 K is 71 kJ per mole of atoms. The energy above the most stable polymorph in this dataset comes out at 510 meV/atom.


CsTiAgCl6: relaxed, GGA-PBE.

Unit cell a=7.0891 b=7.0890 c=7.2872 alpha=91.30 beta=88.65 gamma=57.85
Last column: nearest neighbours and their distance in Å.
Element x y z (fractional)
Cs 0.0143 0.0162 0.0014  6 Cl 3.50-3.55
Ti 0.3382 0.3377 0.5000  6 Cl 2.33-2.46
Cl 0.0673 0.5706 0.7245  1 Ti 2.33
Cl 0.3759 0.0258 0.6714  1 Ti 2.46, 1 Ag 2.54
Cl 0.6220 0.3216 0.6662  1 Ti 2.33
Cl 0.5685 0.0653 0.2750  1 Ti 2.34
Ag 0.6635 0.6652 0.5001  2 Cl 2.54
Cl 0.3255 0.6192 0.3319  1 Ti 2.33
Cl 0.0246 0.3785 0.3295  1 Ti 2.46, 1 Ag 2.54

Summary:
Its total DFT energy (no corrections) is -3.943 eV per atom. The value obtained for the uncorrected formation energy is -1235 kJ/mol of formula units.


FeNi2Pt2: relaxed, GGA-PBE.

Unit cell a=4.2406 b=4.2406 c=4.9565 alpha=64.67 beta=64.67 gamma=59.99
Last column: nearest neighbours and their distance in Å.
Element x y z (fractional)
Ni 0.4058 0.9058 0.7826  1 Ni 2.44, 4 Pt 2.53-2.54, 3 Fe 2.62
Ni 0.5942 0.0942 0.2174  1 Ni 2.44, 4 Pt 2.53-2.54, 3 Fe 2.62
Fe 0.0000 0.5000 0.0000  6 Ni 2.62, 8 Pt 2.72-2.92
Pt 0.7900 0.2900 0.6300  4 Ni 2.53-2.54, 3 Pt 2.69, 1 Fe 2.72
Pt 0.2100 0.7100 0.3700  4 Ni 2.53-2.54, 3 Pt 2.69, 1 Fe 2.72

Summary:
Its total DFT energy (no corrections) is -6.442 eV per atom. The value obtained for the density of states at the Fermi level is 6.1 states/eV per cell. The value obtained for the formation enthalpy at 0 K is -2 kJ per mole of atoms. The energy above the most stable polymorph in this dataset comes out at 0 meV/atom.


TlGaO2: relaxed, GGA-PBE.

Unit cell a=6.7219 b=6.7219 c=6.7219 alpha=29.13 beta=29.13 gamma=29.13
Last column: nearest neighbours and their distance in Å.
Element x y z (fractional)
Ga 0.0000 0.0000 0.0000  2 O 2.01
Tl 0.5000 0.5000 0.5000  6 O 2.29
O 0.1043 0.1043 0.1043  1 Ga 2.01
O 0.8957 0.8957 0.8957  1 Ga 2.01

Summary:
Its total DFT energy (no corrections) is -4.386 eV per atom. The value obtained for the density of states at the Fermi level is 0.7 states/eV per cell. The value obtained for the uncorrected formation energy is -216 kJ/mol of formula units. The energy above the most stable polymorph in this dataset comes out at 846 meV/atom.


NdMgTl2: relaxed, GGA-PBE.

Unit cell a=4.5887 b=4.8343 c=4.8343 alpha=90.00 beta=90.00 gamma=90.00
Last column: nearest neighbours and their distance in Å.
Element x y z (fractional)
Mg 0.5000 0.5000 0.5000  8 Tl 3.33, 4 Nd 3.42
Tl 0.0000 0.5000 0.0000  4 Nd 3.33, 4 Mg 3.33, 4 Tl 3.42
Nd 0.5000 0.0000 0.0000  8 Tl 3.33, 4 Mg 3.42
Tl 0.0000 0.0000 0.5000  4 Mg 3.33, 4 Nd 3.33, 4 Tl 3.42

Summary:
Its total DFT energy (no corrections) is -3.078 eV per atom. The value obtained for the density of states at the Fermi level is 2.1 states/eV per cell. The value obtained for the formation enthalpy at 0 K is -29 kJ per mole of atoms. The energy above the most stable polymorph in this dataset comes out at 0 meV/atom.


Cd4Ga2Hg5: relaxed, GGA-PBE.

Unit cell a=4.2420 b=7.4783 c=10.1222 alpha=62.30 beta=102.10 gamma=90.00
Last column: nearest neighbours and their distance in Å.
Element x y z (fractional)
Hg 0.7836 0.0945 0.5673  3 Cd 2.95-3.04, 5 Hg 3.17-3.26
Cd 0.6741 0.6842 0.3482  1 Ga 2.94, 6 Hg 3.02-3.14
Ga 0.5558 0.5532 0.1116  1 Ga 2.68, 3 Hg 2.82-2.98, 3 Cd 2.94
Hg 0.1619 0.3909 0.3238  2 Ga 2.82, 4 Cd 3.02-3.14
Ga 0.4442 0.4468 0.8884  1 Ga 2.68, 3 Hg 2.82-2.98, 3 Cd 2.94
Cd 0.0518 0.2033 0.1035  2 Ga 2.94, 4 Hg 2.95-3.10
Cd 0.3259 0.3158 0.6518  1 Ga 2.94, 6 Hg 3.02-3.14
Hg 0.2164 0.9055 0.4327  3 Cd 2.95-3.04, 5 Hg 3.17-3.26
Cd 0.9482 0.7967 0.8965  2 Ga 2.94, 4 Hg 2.95-3.10
Hg 0.8381 0.6091 0.6762  2 Ga 2.82, 4 Cd 3.02-3.14
Hg 0.5000 0.0000 0.0000  2 Ga 2.98, 6 Cd 3.06-3.12

Summary:
Its total DFT energy (no corrections) is -0.963 eV per atom. The value obtained for the density of states at the Fermi level is 2.8 states/eV per cell. The value obtained for the formation enthalpy at 0 K is 6 kJ per mole of atoms. The energy above the most stable polymorph in this dataset comes out at 0 meV/atom.


CaNiCl2: relaxed, GGA-PBE.

Unit cell a=4.7158 b=4.7158 c=4.7158 alpha=60.00 beta=60.00 gamma=60.00
Last column: nearest neighbours and their distance in Å.
Element x y z (fractional)
Cl 0.7500 0.7500 0.7500  4 Ca 2.89, 4 Ni 2.89
Ni 0.5000 0.5000 0.5000  8 Cl 2.89
Ca 0.0000 0.0000 0.0000  8 Cl 2.89
Cl 0.2500 0.2500 0.2500  4 Ni 2.89, 4 Ca 2.89

Summary:
Its total DFT energy (no corrections) is -3.656 eV per atom. The value obtained for the density of states at the Fermi level is 2.5 states/eV per cell. The value obtained for the uncorrected formation energy is -304 kJ/mol of formula units. The energy above the most stable polymorph in this dataset comes out at 394 meV/atom.


SmAl6Au12: relaxed, GGA-PBE.

Unit cell a=7.4995 b=7.4995 c=7.4995 alpha=105.93 beta=105.93 gamma=105.93
Last column: nearest neighbours and their distance in Å.
Element x y z (fractional)
Au 0.8678 0.6196 0.6196  4 Al 2.70-2.99, 4 Au 2.84-2.97
Au 0.5000 0.8807 0.1193  4 Al 2.63-2.69, 3 Au 2.84-2.86
Al 0.2806 0.2806 0.6934  7 Au 2.63-2.73
Au 0.6196 0.8678 0.6196  4 Al 2.70-2.99, 4 Au 2.84-2.97
Al 0.2806 0.6934 0.2806  7 Au 2.63-2.73
Au 0.8807 0.5000 0.1193  4 Al 2.63-2.69, 3 Au 2.84-2.86
Au 0.6196 0.6196 0.8678  4 Al 2.70-2.99, 4 Au 2.84-2.97
Al 0.7194 0.3066 0.7194  7 Au 2.63-2.73
Al 0.6934 0.2806 0.2806  7 Au 2.63-2.73
Au 0.3804 0.1322 0.3804  4 Al 2.70-2.99, 4 Au 2.84-2.97
Au 0.1322 0.3804 0.3804  4 Al 2.70-2.99, 4 Au 2.84-2.97
Sm 0.0000 0.0000 0.0000  6 Au 3.11
Al 0.3066 0.7194 0.7194  7 Au 2.63-2.73
Au 0.3804 0.3804 0.1322  4 Al 2.70-2.99, 4 Au 2.84-2.97
Au 0.5000 0.1193 0.8807  4 Al 2.63-2.69, 3 Au 2.84-2.86
Al 0.7194 0.7194 0.3066  7 Au 2.63-2.73
Au 0.8807 0.1193 0.5000  4 Al 2.63-2.69, 3 Au 2.84-2.86
Au 0.1193 0.8807 0.5000  4 Al 2.63-2.69, 3 Au 2.84-2.86
Au 0.1193 0.5000 0.8807  4 Al 2.63-2.69, 3 Au 2.84-2.86

Summary:
Its total DFT energy (no corrections) is -3.857 eV per atom. The value obtained for the density of states at the Fermi level is 3.1 states/eV per cell. The value obtained for the formation enthalpy at 0 K is -34 kJ per mole of atoms.


Er2GaCo4Ge3: relaxed, GGA-PBE.

Unit cell a=3.9906 b=3.9906 c=9.8230 alpha=90.00 beta=90.00 gamma=90.00
Last column: nearest neighbours and their distance in Å.
Element x y z (fractional)
Co 0.5000 0.0000 0.6344  3 Ge 2.32-2.39, 2 Ga 2.39
Ge 0.5000 0.0000 0.8703  5 Co 2.32-2.37
Ga 0.5000 0.5000 0.5000  4 Co 2.39
Co 0.5000 0.5000 0.0000  4 Ge 2.37
Ge 0.0000 0.0000 0.5000  4 Co 2.39
Er 0.5000 0.0000 0.2502  8 Co 3.04-3.17, 6 Ge 3.06-3.16, 2 Ga 3.16
Co 0.0000 0.5000 0.3656  3 Ge 2.32-2.39, 2 Ga 2.39
Er 0.0000 0.5000 0.7498  8 Co 3.04-3.17, 6 Ge 3.06-3.16, 2 Ga 3.16
Co 0.0000 0.0000 0.0000  4 Ge 2.37
Ge 0.0000 0.5000 0.1297  5 Co 2.32-2.37

Summary:
Its total DFT energy (no corrections) is -5.989 eV per atom. The value obtained for the density of states at the Fermi level is 9.4 states/eV per cell. The value obtained for the formation enthalpy at 0 K is -53 kJ per mole of atoms.


NdY15Tm4: relaxed, GGA-PBE.

Unit cell a=5.0325 b=5.0325 c=25.1964 alpha=90.00 beta=90.00 gamma=90.00
Last column: nearest neighbours and their distance in Å.
Element x y z (fractional)
Y 0.0000 0.5000 0.8979  2 Tm 3.55, 8 Y 3.56-3.60, 2 Nd 3.60
Y 0.5000 0.0000 0.8979  2 Tm 3.55, 8 Y 3.56-3.60, 2 Nd 3.60
Y 0.0000 0.5000 0.3010  8 Y 3.54-3.56, 4 Tm 3.55
Tm 0.0000 0.0000 0.2014  12 Y 3.55-3.56
Y 0.5000 0.5000 0.0000  4 Nd 3.56, 8 Y 3.60
Y 0.5000 0.5000 0.4005  8 Y 3.55, 4 Tm 3.56
Tm 0.0000 0.0000 0.5994  12 Y 3.55-3.56
Y 0.5000 0.5000 0.2021  8 Y 3.54-3.56, 4 Tm 3.56
Tm 0.0000 0.0000 0.7986  12 Y 3.55-3.56
Y 0.5000 0.0000 0.1021  2 Tm 3.55, 8 Y 3.56-3.60, 2 Nd 3.60
Nd 0.0000 0.0000 0.0000  12 Y 3.56-3.60
Y 0.0000 0.5000 0.1021  2 Tm 3.55, 8 Y 3.56-3.60, 2 Nd 3.60
Y 0.5000 0.5000 0.7979  8 Y 3.54-3.56, 4 Tm 3.56
Y 0.5000 0.5000 0.5995  8 Y 3.55, 4 Tm 3.56
Y 0.0000 0.5000 0.5000  4 Tm 3.55, 8 Y 3.55-3.56
Tm 0.0000 0.0000 0.4006  12 Y 3.55-3.56
Y 0.5000 0.0000 0.6990  8 Y 3.54-3.56, 4 Tm 3.55
Y 0.5000 0.0000 0.5000  4 Tm 3.55, 8 Y 3.55-3.56
Y 0.0000 0.5000 0.6990  8 Y 3.54-3.56, 4 Tm 3.55
Y 0.5000 0.0000 0.3010  8 Y 3.54-3.56, 4 Tm 3.55

Summary:
Its total DFT energy (no corrections) is -5.954 eV per atom. The value obtained for the density of states at the Fermi level is 29.1 states/eV per cell. The value obtained for the formation enthalpy at 0 K is 3 kJ per mole of atoms.


HoTh2Mg: relaxed, GGA-PBE.

Unit cell a=3.7150 b=5.6982 c=5.6982 alpha=90.00 beta=90.00 gamma=90.00
Last column: nearest neighbours and their distance in Å.
Element x y z (fractional)
Mg 0.5000 0.0000 0.0000  8 Th 3.40, 2 Mg 3.72
Th 0.0000 0.0000 0.5000  4 Ho 3.40, 4 Mg 3.40, 2 Th 3.72
Th 0.0000 0.5000 0.0000  4 Ho 3.40, 4 Mg 3.40, 2 Th 3.72
Ho 0.5000 0.5000 0.5000  8 Th 3.40, 2 Ho 3.72

Summary:
Its total DFT energy (no corrections) is -5.130 eV per atom. The value obtained for the density of states at the Fermi level is 5.6 states/eV per cell. The value obtained for the formation enthalpy at 0 K is 12 kJ per mole of atoms. The energy above the most stable polymorph in this dataset comes out at 116 meV/atom.